Entry 1:
CrFeTe2 (GGA-PBEsol, relaxed); density of states at the Fermi level = 5.21 states/eV/f.u.; uncorrected formation energy = 0.430 eV/atom
1.0
3.2770 0.0000 0.0000
0.0000 4.6471 0.0000
0.0000 0.0000 4.6471
Cr Fe Te
1 1 2
Direct
0.5000 0.5000 0.5000
0.5000 0.0000 0.0000
0.0000 0.0000 0.5000
0.0000 0.5000 0.0000

---

Entry 2:
CrFeTe (GGA-PBEsol, relaxed); density of states at the Fermi level = 4.19 states/eV/f.u.; uncorrected formation energy = 0.496 eV/atom
1.0
3.0879 0.0000 0.0000
0.0000 4.1452 0.0000
0.0000 -2.0726 3.5898
Cr Fe Te
1 1 1
Direct
0.5000 0.0000 0.0000
0.0000 0.6667 0.3333
0.0000 0.3333 0.6667

---

Entry 3:
ZrTiCr2Fe2 (GGA-PBEsol, relaxed); density of states at the Fermi level = 6.76 states/eV/f.u.; E_form = -0.1653 eV/atom
1.0
4.8280 0.0000 0.0000
-2.4140 4.2274 0.0029
0.0000 -0.0057 7.7483
Zr Ti Cr Fe
2 2 4 4
Direct
0.3339 0.6678 0.0724
0.6664 0.3327 0.9357
0.6665 0.3331 0.5536
0.3343 0.6685 0.4418
0.0014 0.0029 0.4973
0.0002 0.0005 0.0008
0.1692 0.8278 0.7409
0.6586 0.8278 0.7409
0.1709 0.3419 0.7428
0.8302 0.1698 0.2582
0.3395 0.1698 0.2582
0.8294 0.6588 0.2576

---

Entry 4:
CrFe2W (GGA-PBEsol, relaxed); density of states at the Fermi level = 5.07 states/eV/f.u.; E_form = 0.1850 eV/atom
1.0
2.9577 0.0000 0.0000
0.0000 4.0929 0.0000
-1.4788 -2.0464 4.0106
Cr Fe W
1 2 1
Direct
0.2525 0.7525 0.5050
0.9991 0.9991 0.9982
0.7465 0.2465 0.4930
0.5019 0.5019 0.0037

---

Entry 5:
Cr2FeW (GGA-PBEsol, relaxed); density of states at the Fermi level = 5.49 states/eV/f.u.; E_form = 0.3058 eV/atom
1.0
-3.3963 1.3439 -0.0424
-0.1094 -0.1615 3.6475
3.0938 2.8036 -1.6121
Cr Fe W
2 1 1
Direct
0.0000 0.0000 0.0000
0.7500 0.2500 0.5000
0.5000 0.5000 0.0000
0.2500 0.7500 0.5000

---

Entry 6:
CrFe4W (GGA-PBEsol, relaxed); density of states at the Fermi level = 7.90 states/eV/f.u.; E_form = 0.0593 eV/atom
1.0
-3.3218 2.3199 -2.1319
-4.2825 -0.1314 1.6137
-1.8216 3.7134 1.9630
Cr Fe W
1 4 1
Direct
0.0000 0.0000 0.0000
0.3745 0.3745 0.3745
0.3745 0.3745 0.8766
0.8766 0.3745 0.3745
0.3745 0.8766 0.3745
0.7500 0.7500 0.7500

---

Entry 7:
CrFeW2 (GGA-PBEsol, relaxed); density of states at the Fermi level = 2.51 states/eV/f.u.; energy above the lowest structure with this stoichiometry = 0.087 eV per atom; E_form = 0.2079 eV/atom
1.0
4.2416 0.0000 0.0000
2.1208 3.6734 0.0000
2.1208 1.2245 3.4633
Cr Fe W
1 1 2
Direct
0.5000 0.5000 0.5000
0.2500 0.2500 0.2500
0.0000 0.0000 0.0000
0.7500 0.7500 0.7500

---

Entry 8:
CrFeW2 (GGA-PBEsol, relaxed); density of states at the Fermi level = 4.61 states/eV/f.u.; energy above the lowest structure with this stoichiometry = 0.336 eV per atom; E_form = 0.4567 eV/atom
1.0
2.7464 0.0000 0.0000
1.3732 2.3784 0.0000
1.3732 0.7928 8.4327
Cr Fe W
1 1 2
Direct
0.5000 0.5000 0.5000
0.0000 0.0000 0.0000
0.2518 0.2518 0.2447
0.7482 0.7482 0.7553

---

Entry 9:
CrFeW2 (GGA-PBEsol, relaxed); density of states at the Fermi level = 2.67 states/eV/f.u.; energy above the lowest structure with this stoichiometry = 0.000 eV per atom; E_form = 0.1206 eV/atom
1.0
-2.2591 -1.5876 1.1779
0.3404 -2.0744 -2.1430
3.8245 -2.9050 3.4194
Cr Fe W
1 1 2
Direct
0.5000 0.5000 0.0000
0.5000 0.5000 0.5000
0.0000 0.0000 0.7514
0.0000 0.0000 0.2486

---

Entry 10:
YCr2Fe2 (GGA-PBEsol, relaxed); density of states at the Fermi level = 3.81 states/eV/f.u.; E_form = 0.0479 eV/atom
1.0
-2.6202 2.1258 1.9422
-1.8707 -3.2530 1.0368
4.8835 0.2799 2.3801
Y Cr Fe
1 2 2
Direct
0.0000 0.0000 0.0000
0.2500 0.7500 0.5000
0.7500 0.2500 0.5000
0.3697 0.3697 0.7393
0.6303 0.6303 0.2607

---

Entry 11:
YCrFe11 (GGA-PBEsol, relaxed); density of states at the Fermi level = 13.48 states/eV/f.u.; E_form = 0.0028 eV/atom
1.0
4.6015 0.0000 0.0000
2.3007 5.8181 -0.0031
2.3007 0.0748 5.8176
Y Cr Fe
1 1 11
Direct
0.0048 0.9952 0.9952
0.6329 0.3671 0.3671
0.4997 0.2215 0.7791
0.4997 0.7791 0.2215
0.2680 0.2320 0.2320
0.7294 0.7706 0.7706
0.5008 0.4970 0.0019
0.0003 0.4970 0.0019
0.5008 0.0019 0.4970
0.0003 0.0019 0.4970
0.3665 0.6335 0.6335
0.9984 0.6434 0.3597
0.9984 0.3597 0.6434

---

Entry 12:
YCr4Fe8 (GGA-PBEsol, relaxed); density of states at the Fermi level = 16.68 states/eV/f.u.; E_form = -0.0136 eV/atom
1.0
-3.2024 2.3289 2.3757
-3.6643 -3.7870 3.2608
1.9916 1.5407 5.6622
Cr Fe Y
4 8 1
Direct
0.0000 0.6333 0.3667
0.0000 0.3667 0.6333
0.3667 0.6333 0.6333
0.6333 0.3667 0.3667
0.7242 0.7758 0.7758
0.2758 0.2242 0.2242
0.5000 0.2242 0.7758
0.5000 0.7758 0.2242
0.5000 0.5000 0.0000
0.0000 0.5000 0.0000
0.5000 0.0000 0.5000
0.0000 0.0000 0.5000
0.0000 0.0000 0.0000

---

Entry 13:
YCrFe2 (GGA-PBEsol, relaxed); density of states at the Fermi level = 4.07 states/eV/f.u.; E_form = 0.4435 eV/atom
1.0
4.3334 0.0000 0.0000
2.1667 3.7529 0.0000
2.1667 1.2510 3.5382
Cr Fe Y
1 2 1
Direct
0.5000 0.5000 0.5000
0.0000 0.0000 0.0000
0.7500 0.7500 0.7500
0.2500 0.2500 0.2500

---

Entry 14:
Zn2CrFe (GGA-PBEsol, relaxed); density of states at the Fermi level = 4.40 states/eV/f.u.; energy above the lowest structure with this stoichiometry = 0.178 eV per atom; E_form = 0.2152 eV/atom
1.0
3.5698 0.0000 0.0000
0.0000 3.5698 0.0000
-1.7849 -1.7849 3.8112
Cr Fe Zn
1 1 2
Direct
0.5000 0.5000 0.0000
0.0000 0.0000 0.0000
0.7500 0.2500 0.5000
0.2500 0.7500 0.5000

---

Entry 15:
Zn2CrFe (GGA-PBEsol, relaxed); density of states at the Fermi level = 3.31 states/eV/f.u.; energy above the lowest structure with this stoichiometry = 0.143 eV per atom; E_form = 0.1800 eV/atom
1.0
-1.1702 1.9273 -1.0024
-1.7370 -2.3684 -2.5258
-3.8388 -0.6416 3.2416
Cr Fe Zn
1 1 2
Direct
0.5000 0.5000 0.0000
0.5000 0.5000 0.5000
0.9996 0.0000 0.7473
0.0004 0.0000 0.2527

---

Entry 16:
ZnCrFe6 (GGA-PBEsol, relaxed); density of states at the Fermi level = 7.76 states/eV/f.u.; E_form = 0.0619 eV/atom
1.0
6.0805 -0.0053 0.0000
-2.0300 5.7317 0.0000
0.0000 0.0000 9.9703
Cr Fe Zn
4 24 4
Direct
0.2514 0.7486 0.0000
0.7486 0.2514 0.0000
0.5000 0.5000 0.7555
0.5000 0.5000 0.2445
0.2515 0.7485 0.7548
0.8707 0.6185 0.8786
0.1293 0.3815 0.8786
0.7485 0.2515 0.7548
0.3815 0.1293 0.8786
0.6185 0.8707 0.8786
0.5000 0.5000 0.5000
0.1266 0.3766 0.6278
0.3766 0.1266 0.6278
0.2515 0.7485 0.2452
0.8734 0.6234 0.3722
0.1266 0.3766 0.3722
0.7485 0.2515 0.2452
0.3766 0.1266 0.3722
0.6234 0.8734 0.3722
0.5000 0.5000 0.0000
0.1293 0.3815 0.1214
0.3815 0.1293 0.1214
0.0000 0.0000 0.5000
0.6234 0.8734 0.6278
0.8734 0.6234 0.6278
0.0000 0.0000 0.0000
0.6185 0.8707 0.1214
0.8707 0.6185 0.1214
0.2498 0.7502 0.5000
0.7502 0.2498 0.5000
0.0000 0.0000 0.7533
0.0000 0.0000 0.2467

---

Entry 17:
Zn3CrFe (GGA-PBEsol, relaxed); density of states at the Fermi level = 4.77 states/eV/f.u.; E_form = 1.3556 eV/atom
1.0
-0.5803 -0.6266 4.4975
-4.0108 -2.0553 -0.8039
2.1293 -4.0423 -0.2885
Cr Zn Fe
1 3 1
Direct
0.0000 0.0000 0.0000
0.0000 0.5000 0.0000
0.0000 0.0000 0.5000
0.5000 0.0000 0.0000
0.5000 0.5000 0.5000

---

Entry 18:
ZnCrFe2 (GGA-PBEsol, relaxed); density of states at the Fermi level = 3.96 states/eV/f.u.; E_form = 0.1173 eV/atom
1.0
-2.4236 0.6644 0.2860
-0.9687 -3.2823 -0.5838
2.7458 -1.6512 4.7277
Cr Fe Zn
1 2 1
Direct
0.0000 0.5000 0.5000
0.7376 0.0000 0.7377
0.2624 0.0000 0.2623
0.5000 0.5000 0.0000

---

Entry 19:
ZnCrFe2 (GGA-PBEsol, relaxed); density of states at the Fermi level = 3.25 states/eV/f.u.; E_form = 0.0744 eV/atom
1.0
2.4414 -0.0026 0.0000
-0.7007 2.3387 0.0000
0.0000 0.0000 7.9386
Cr Zn Fe
1 1 2
Direct
0.5000 0.5000 0.0000
0.5000 0.5000 0.5000
0.0000 0.0000 0.2403
0.0000 0.0000 0.7597

---

Entry 20:
Zn2CrFe (GGA-PBEsol, relaxed); density of states at the Fermi level = 1.65 states/eV/f.u.; energy above the lowest structure with this stoichiometry = 0.000 eV per atom; E_form = 0.0369 eV/atom
1.0
2.7384 0.0000 0.0000
0.0000 2.7384 0.0000
0.0000 0.0000 6.3771
Cr Zn Fe
1 2 1
Direct
0.0000 0.0000 0.5318
0.0000 0.0000 0.9818
0.5000 0.5000 0.2609
0.5000 0.5000 0.7255

---

Entry 21:
Zn2CrFe (GGA-PBEsol, relaxed); density of states at the Fermi level = 3.39 states/eV/f.u.; energy above the lowest structure with this stoichiometry = 0.167 eV per atom; E_form = 0.2036 eV/atom
1.0
3.5695 0.0000 0.0000
0.0000 3.5695 0.0000
0.0000 0.0000 3.8195
Cr Fe Zn
1 1 2
Direct
0.5000 0.5000 0.5000
0.0000 0.0000 0.5000
0.0000 0.5000 0.0000
0.5000 0.0000 0.0000

---

Entry 22:
Zr2CrFe3 (GGA-PBEsol, relaxed); density of states at the Fermi level = 6.43 states/eV/f.u.; E_form = -0.2139 eV/atom
1.0
4.7543 0.0000 0.0000
-2.3771 4.2450 0.0000
0.0000 0.0000 8.1117
Zr Cr Fe
4 2 6
Direct
0.6650 0.3300 0.8098
0.3331 0.6662 0.6845
0.3331 0.6662 0.3155
0.6650 0.3300 0.1902
0.1689 0.8387 0.0000
0.6698 0.8387 0.0000
0.1774 0.3548 0.0000
0.8321 0.1648 0.5000
0.3327 0.1648 0.5000
0.8303 0.6605 0.5000
0.9964 0.9928 0.7483
0.9964 0.9928 0.2517

---

Entry 23:
ZrCrFe2 (GGA-PBEsol, relaxed); density of states at the Fermi level = 7.60 states/eV/f.u.; E_form = 0.1514 eV/atom
1.0
2.9810 0.0000 0.0000
0.0000 4.1737 0.0000
0.0000 0.0000 4.1737
Cr Fe Zr
1 2 1
Direct
0.5000 0.0000 0.0000
0.0000 0.0000 0.5000
0.0000 0.5000 0.0000
0.5000 0.5000 0.5000

---

Entry 24:
ZrCrFe (GGA-PBEsol, relaxed); density of states at the Fermi level = 3.09 states/eV/f.u.; energy above the lowest structure with this stoichiometry = 0.000 eV per atom; E_form = -0.1483 eV/atom
1.0
-4.4336 -0.4965 -1.8096
2.7917 -3.9069 0.3477
-2.9170 -1.4138 7.5346
Zr Cr Fe
4 4 4
Direct
0.6684 0.3316 0.1852
0.3345 0.6655 0.3090
0.3345 0.6655 0.6910
0.6684 0.3316 0.8148
0.1598 0.8402 0.0000
0.8332 0.6614 0.5000
0.3386 0.1668 0.5000
0.8325 0.1675 0.5000
0.0037 0.9963 0.2463
0.0037 0.9963 0.7537
0.1656 0.3429 0.0000
0.6571 0.8344 0.0000

---

Entry 25:
Zr2CrFe3 (GGA-PBEsol, relaxed); density of states at the Fermi level = 7.95 states/eV/f.u.; E_form = -0.2070 eV/atom
1.0
4.9351 0.0000 0.0000
-2.4675 4.2739 0.0000
0.0000 0.0000 7.7867
Cr Fe Zr
2 6 4
Direct
0.0000 0.0000 0.5000
0.0000 0.0000 0.0000
0.8313 0.6625 0.2500
0.1687 0.8313 0.7500
0.6625 0.8313 0.7500
0.3375 0.1687 0.2500
0.8313 0.1687 0.2500
0.1687 0.3375 0.7500
0.3333 0.6667 0.0618
0.6667 0.3333 0.5618
0.3333 0.6667 0.4382
0.6667 0.3333 0.9382

---

Entry 26:
ZrCrFe (GGA-PBEsol, relaxed); density of states at the Fermi level = 4.76 states/eV/f.u.; energy above the lowest structure with this stoichiometry = 0.885 eV per atom; E_form = 0.7363 eV/atom
1.0
4.0400 0.0000 0.0000
2.0200 3.4987 0.0000
2.0200 1.1662 3.2986
Cr Fe Zr
1 1 1
Direct
0.2500 0.2500 0.2500
0.0000 0.0000 0.0000
0.5000 0.5000 0.5000